Entry 1:
# AlSn2HgH PBE relaxed
data_AlSn2HgH
_chemical_formula_sum 'Al1 Sn2 Hg1 H1'
_cell_length_a 5.656
_cell_length_b 5.656
_cell_length_c 3.313
_cell_angle_alpha 90.00
_cell_angle_beta 90.00
_cell_angle_gamma 90.00
_space_group_name_H-M_alt 'P 4/m m m'
_space_group_IT_number 123
_space_group_name_Hall '-P 4 2'
loop_
_atom_site_label
_atom_site_type_symbol
_atom_site_fract_x
_atom_site_fract_y
_atom_site_fract_z
Al1 Al 0.000 0.000 0.000
Sn1 Sn 0.000 0.500 0.000
Hg1 Hg 0.500 0.500 0.500
H1 H 0.000 0.000 0.500
# N(E_F), states/eV per atom: 0.53
# VASP energy, eV/cell: -14.647



Entry 2:
# SrTb2UAs4 PBE relaxed
data_SrTb2UAs4
_chemical_formula_sum 'Sr2 Tb4 U2 As8'
_cell_length_a 5.930
_cell_length_b 5.930
_cell_length_c 11.853
_cell_angle_alpha 90.00
_cell_angle_beta 90.00
_cell_angle_gamma 90.00
_space_group_name_H-M_alt 'I -4 m 2'
_space_group_IT_number 119
_space_group_name_Hall 'I -4 -2'
loop_
_atom_site_label
_atom_site_type_symbol
_atom_site_fract_x
_atom_site_fract_y
_atom_site_fract_z
Sr1 Sr 0.000 0.000 0.000
Tb1 Tb 0.000 0.000 0.500
Tb2 Tb 0.000 0.500 0.250
U1 U 0.000 0.500 0.750
As1 As 0.000 0.000 0.258
As2 As 0.000 0.500 0.510
# N(E_F), states/eV per atom: 1.02
# VASP energy, eV/cell: -100.646
# Formation energy from the elements, kJ per mole of atoms: -115



Entry 3:
# ZnCrCd2 PBE relaxed
data_ZnCrCd2
_chemical_formula_sum 'Zn1 Cr1 Cd2'
_cell_length_a 3.073
_cell_length_b 3.073
_cell_length_c 7.792
_cell_angle_alpha 90.00
_cell_angle_beta 90.00
_cell_angle_gamma 90.00
_space_group_name_H-M_alt 'P 4 m m'
_space_group_IT_number 99
loop_
_space_group_symop_operation_xyz
'x,y,z'
'-y,x,z'
'-x,-y,z'
'y,-x,z'
'-x,y,z'
'y,x,z'
'x,-y,z'
'-y,-x,z'
loop_
_atom_site_label
_atom_site_type_symbol
_atom_site_fract_x
_atom_site_fract_y
_atom_site_fract_z
Zn1 Zn 0.000 0.000 0.000
Cr1 Cr 0.500 0.500 0.802
Cd1 Cd 0.000 0.000 0.549
Cd2 Cd 0.500 0.500 0.251
# N(E_F), states/eV per atom: 0.33
# VASP energy, eV/cell: -11.853
# Formation energy from the elements, kJ per mole of atoms: 21



Entry 4:
# Y2HgRu PBE relaxed
data_Y2HgRu
_chemical_formula_sum 'Y4 Hg2 Ru2'
_cell_length_a 7.184
_cell_length_b 3.524
_cell_length_c 8.186
_cell_angle_alpha 90.00
_cell_angle_beta 100.69
_cell_angle_gamma 90.00
_space_group_name_H-M_alt 'C 1 2/m 1'
_space_group_IT_number 12
loop_
_space_group_symop_operation_xyz
'x,y,z'
'-x,-y,-z'
'-x,y,-z'
'x,-y,z'
'x+1/2,y+1/2,z'
'-x+1/2,-y+1/2,-z'
'-x+1/2,y+1/2,-z'
'x+1/2,-y+1/2,z'
loop_
_atom_site_label
_atom_site_type_symbol
_atom_site_fract_x
_atom_site_fract_y
_atom_site_fract_z
Y1 Y 0.245 0.000 0.205
Hg1 Hg 0.000 0.000 0.500
Ru1 Ru 0.000 0.500 0.000
# N(E_F), states/eV per atom: 0.75
# VASP energy, eV/cell: -47.023
# Formation energy from the elements, kJ per mole of atoms: -24



Entry 5:
# Li2OsBr PBE relaxed
data_Li2OsBr
_chemical_formula_sum 'Li6 Os3 Br3'
_cell_length_a 2.9419
_cell_length_b 2.9419
_cell_length_c 24.8049
_cell_angle_alpha 90.00
_cell_angle_beta 90.00
_cell_angle_gamma 120.00
_space_group_name_H-M_alt 'R -3 m'
_space_group_IT_number 166
_space_group_name_Hall '-R 3 2"'
loop_
_atom_site_label
_atom_site_type_symbol
_atom_site_fract_x
_atom_site_fract_y
_atom_site_fract_z
Li1 Li 0.0000 0.0000 0.2462
Os1 Os 0.0000 0.0000 0.0000
Br1 Br 0.0000 0.0000 0.5000
# N(E_F), states/eV per atom: 0.61
# VASP energy, eV/cell: -49.942
# Distance to the lowest polymorph of the same formula, kcal/mol of atoms: 0.000



Entry 6:
# BaLaAlNi2 PBE relaxed
data_BaLaAlNi2
_chemical_formula_sum 'Ba1 La1 Al1 Ni2'
_cell_length_a 4.657
_cell_length_b 4.657
_cell_length_c 5.582
_cell_angle_alpha 90.00
_cell_angle_beta 90.00
_cell_angle_gamma 90.00
_space_group_name_H-M_alt 'P 4/m m m'
_space_group_IT_number 123
_space_group_name_Hall '-P 4 2'
loop_
_atom_site_label
_atom_site_type_symbol
_atom_site_fract_x
_atom_site_fract_y
_atom_site_fract_z
Ba1 Ba 0.000 0.000 0.000
La1 La 0.500 0.500 0.000
Al1 Al 0.000 0.000 0.500
Ni1 Ni 0.000 0.500 0.500
# N(E_F), states/eV per atom: 1.54
# VASP energy, eV/cell: -19.573
# Formation energy from the elements, kJ per mole of atoms: 50